No. 1
Entry from Alexandria via LeMat-Bulk: crystalline HoErAlHg at its relaxed geometry (GGA-PBE).

It has space group F-43m (No. 216), with a = 7.314 Å, b = 7.314 Å, c = 7.314 Å, α = 90.00°, β = 90.00° and γ = 90.00°. The asymmetric unit holds Ho at (0.000, 0.000, 0.000), Er at (0.000, 0.000, 0.500), Al at (0.250, 0.250, 0.250) and Hg at (0.250, 0.250, 0.750).

The excess energy over the best structure of this formula in the dataset comes out at 33.2 meV/atom. The final energy is -3.694 eV/atom.

---

No. 2
Entry from Alexandria via LeMat-Bulk: crystalline HoErAlHg at its relaxed geometry (GGA-PBE).

It has space group P4mm (No. 99), with a = 3.592 Å, b = 3.592 Å, c = 7.489 Å, α = 90.00°, β = 90.00° and γ = 90.00°. The asymmetric unit holds Ho at (0.000, 0.000, 0.000), Er at (0.000, 0.000, 0.519), Al at (0.500, 0.500, 0.759) and Hg at (0.500, 0.500, 0.263).

The excess energy over the best structure of this formula in the dataset comes out at 0.0 meV/atom. The final energy is -3.727 eV/atom.

---

No. 3
Entry from Alexandria via LeMat-Bulk: crystalline LaErAlHg at its relaxed geometry (GGA-PBE).

It has space group F-43m (No. 216), with a = 7.546 Å, b = 7.546 Å, c = 7.546 Å, α = 90.00°, β = 90.00° and γ = 90.00°. The asymmetric unit holds La at (0.000, 0.000, 0.000), Er at (0.000, 0.000, 0.500), Al at (0.250, 0.250, 0.250) and Hg at (0.250, 0.250, 0.750).

The final energy is -3.771 eV/atom.

---

No. 4
Entry from Alexandria via LeMat-Bulk: crystalline ErPaAlHg at its relaxed geometry (GGA-PBE).

It has space group F-43m (No. 216), with a = 7.320 Å, b = 7.320 Å, c = 7.320 Å, α = 90.00°, β = 90.00° and γ = 90.00°. The asymmetric unit holds Er at (0.000, 0.000, 0.000), Pa at (0.000, 0.000, 0.500), Al at (0.250, 0.250, 0.750) and Hg at (0.250, 0.250, 0.250).

The final energy is -4.585 eV/atom.

---

No. 5
Entry from Alexandria via LeMat-Bulk: crystalline PmErAlHg at its relaxed geometry (GGA-PBE).

It has space group P4mm (No. 99), with a = 3.618 Å, b = 3.618 Å, c = 7.698 Å, α = 90.00°, β = 90.00° and γ = 90.00°. The asymmetric unit holds Pm at (0.000, 0.000, 0.000), Er at (0.000, 0.000, 0.521), Al at (0.500, 0.500, 0.752) and Hg at (0.500, 0.500, 0.283).

The excess energy over the best structure of this formula in the dataset comes out at 0.0 meV/atom. The final energy is -3.771 eV/atom.

---

No. 6
Entry from Alexandria via LeMat-Bulk: crystalline PmErAlHg at its relaxed geometry (GGA-PBE).

It has space group F-43m (No. 216), with a = 7.432 Å, b = 7.432 Å, c = 7.432 Å, α = 90.00°, β = 90.00° and γ = 90.00°. The asymmetric unit holds Pm at (0.000, 0.000, 0.000), Er at (0.000, 0.000, 0.500), Al at (0.250, 0.250, 0.250) and Hg at (0.250, 0.250, 0.750).

The excess energy over the best structure of this formula in the dataset comes out at 43.6 meV/atom. The final energy is -3.728 eV/atom.

---

No. 7
Entry from Alexandria via LeMat-Bulk: crystalline PrErAlHg at its relaxed geometry (GGA-PBE).

It has space group F-43m (No. 216), with a = 7.491 Å, b = 7.491 Å, c = 7.491 Å, α = 90.00°, β = 90.00° and γ = 90.00°. The asymmetric unit holds Pr at (0.000, 0.000, 0.000), Er at (0.000, 0.000, 0.500), Al at (0.250, 0.250, 0.750) and Hg at (0.250, 0.250, 0.250).

The excess energy over the best structure of this formula in the dataset comes out at 51.7 meV/atom. The final energy is -3.721 eV/atom.

---

No. 8
Entry from Alexandria via LeMat-Bulk: crystalline PrErAlHg at its relaxed geometry (GGA-PBE).

It has space group P4mm (No. 99), with a = 3.642 Å, b = 3.642 Å, c = 7.764 Å, α = 90.00°, β = 90.00° and γ = 90.00°. The asymmetric unit holds Pr at (0.000, 0.000, 0.000), Er at (0.000, 0.000, 0.521), Al at (0.500, 0.500, 0.748) and Hg at (0.500, 0.500, 0.291).

The excess energy over the best structure of this formula in the dataset comes out at 0.0 meV/atom. The final energy is -3.773 eV/atom.

---

Values for energy relative to the elements, meV per atom, ordered as above
-398 -431 -387 -59 -432 -388 -375 -426